No. 1
4
Lattice="-0.024 -4.912 -0.562 3.767 -2.245 -2.282 3.145 -2.800 2.591" Properties=species:S:1:pos:R:3 comment="TbLuZnPt, relaxed, DFT GGA-PBE" formation_enthalpy_0k_ev_per_atom=-0.811 e_tot_ev_per_atom=-4.927 volume_a3_per_cell=85 pbc="T T T"
Zn 1.722 -2.489 -0.064
Lu 3.444 -4.979 -0.127
Tb 0.000 0.000 0.000
Pt 5.166 -7.468 -0.191

=====

No. 2
7
Lattice="6.380 0.200 0.000 -2.897 5.688 0.000 -1.741 -2.944 5.389" Properties=species:S:1:pos:R:3 comment="ErGe2Se4, relaxed, DFT GGA-PBE" e_form_raw_ev_per_atom=-0.4950 e_tot_ev_per_atom=-4.457 volume_a3_per_cell=199 pbc="T T T"
Er 1.741 2.944 0.000
Ge -1.448 2.844 2.694
Ge 3.190 0.100 2.694
Se 0.577 -0.341 2.676
Se 4.076 1.562 0.670
Se -2.335 1.381 4.719
Se 1.164 3.285 2.713

=====

No. 3
5
Lattice="4.606 0.000 0.000 0.000 4.996 0.000 0.000 0.000 4.606" Properties=species:S:1:pos:R:3 comment="AgGePd2Cl, relaxed, DFT GGA-PBE" e_form_raw_ev_per_atom=0.5593 e_tot_ev_per_atom=-3.381 volume_a3_per_cell=106 pbc="T T T"
Ge 2.303 2.498 2.303
Pd 0.000 0.000 2.303
Pd 2.303 0.000 0.000
Ag 0.000 2.498 0.000
Cl 0.000 0.000 0.000

=====

No. 4
5
Lattice="-2.527 -1.865 3.427 3.606 0.682 3.030 -1.678 4.205 1.051" Properties=species:S:1:pos:R:3 comment="TcMoOs2Br, relaxed, DFT GGA-PBE" e_form_raw_ev_per_atom=2.3189 e_tot_ev_per_atom=-6.747 volume_a3_per_cell=103 pbc="T T T"
Mo -0.299 1.511 3.754
Os -0.839 2.103 0.526
Os -1.263 -0.932 1.714
Tc 0.000 0.000 0.000
Br 1.803 0.341 1.515

=====

No. 5
4
Lattice="-2.357 -1.838 1.459 -2.189 -1.678 -1.859 5.909 -10.762 -0.217" Properties=species:S:1:pos:R:3 comment="Pr2ZrCd, relaxed, DFT GGA-PBE" formation_enthalpy_0k_ev_per_atom=0.281 e_above_lowest_polymorph_kj_per_mol_fu=127.8 e_tot_ev_per_atom=-4.474 volume_a3_per_cell=116 pbc="T T T"
Pr 3.940 -8.218 -0.195
Pr -2.577 -6.060 -0.422
Zr 0.000 0.000 0.000
Cd 0.682 -7.139 -0.308

=====

No. 6
4
Lattice="-2.400 -4.179 1.678 -2.360 -3.088 -3.307 1.924 -4.620 -0.996" Properties=species:S:1:pos:R:3 comment="TbPuTlRu, relaxed, DFT GGA-PBE" formation_enthalpy_0k_ev_per_atom=-0.021 e_above_lowest_polymorph_kj_per_mol_fu=83.1 e_tot_ev_per_atom=-7.672 volume_a3_per_cell=94 pbc="T T T"
Ru -2.126 -8.916 -1.969
Tl -0.709 -2.972 -0.656
Tb -1.418 -5.944 -1.312
Pu 0.000 0.000 0.000

=====

No. 7
16
Lattice="6.386 0.000 0.000 0.000 6.999 0.000 0.000 0.000 7.467" Properties=species:S:1:pos:R:3 comment="MnSe3, relaxed, DFT GGA-PBE" e_form_raw_ev_per_atom=-0.0859 e_tot_ev_per_atom=-4.992 volume_a3_per_cell=334 pbc="T T T"
Mn 3.434 5.860 5.601
Mn 0.241 4.638 1.867
Mn 6.144 2.361 5.601
Mn 2.952 1.139 1.867
Se 1.059 6.880 5.601
Se 4.252 3.618 1.867
Se 2.134 3.381 5.601
Se 5.327 0.119 1.867
Se 4.495 0.820 6.999
Se 1.302 2.680 0.469
Se 5.083 4.319 4.203
Se 1.890 6.180 3.265
Se 1.890 6.180 0.469
Se 5.083 4.319 6.999
Se 1.302 2.680 3.265
Se 4.495 0.820 4.203

=====

No. 8
16
Lattice="3.602 0.000 0.000 -1.801 5.969 0.000 0.000 0.000 12.311" Properties=species:S:1:pos:R:3 comment="Ce2ThOsC4, relaxed, DFT GGA-PBE" formation_enthalpy_0k_ev_per_atom=-0.030 e_tot_ev_per_atom=-8.457 volume_a3_per_cell=265 pbc="T T T"
Ce 0.000 4.373 6.665
Ce 1.801 1.596 0.510
Ce 1.801 1.596 5.646
Ce 0.000 4.373 11.801
Th 0.000 1.273 9.233
Th 1.801 4.697 3.078
Os 1.801 4.131 9.233
Os 0.000 1.838 3.078
C 0.000 3.169 1.650
C 1.801 2.800 7.805
C 1.801 2.800 10.661
C 0.000 3.169 4.505
C 0.000 0.000 6.155
C 0.000 0.000 0.000
C 0.000 5.119 9.233
C 1.801 0.850 3.078

=====

No. 9
5
Lattice="4.467 0.000 0.000 0.000 4.649 0.000 0.000 0.000 4.467" Properties=species:S:1:pos:R:3 comment="BaLiSi2N, relaxed, DFT GGA-PBE" e_form_raw_ev_per_atom=0.3987 e_tot_ev_per_atom=-4.203 volume_a3_per_cell=93 pbc="T T T"
Si 0.000 0.000 2.234
Si 2.234 0.000 0.000
Li 0.000 2.325 0.000
Ba 2.234 2.325 2.234
N 0.000 0.000 0.000

=====

No. 10
16
Lattice="-2.391 -3.128 8.754 4.195 -8.491 -1.561 3.806 10.861 -3.217" Properties=species:S:1:pos:R:3 comment="Pm4NdSm2Dy, relaxed, DFT GGA-PBE" formation_enthalpy_0k_ev_per_atom=0.387 e_tot_ev_per_atom=-4.339 volume_a3_per_cell=552 pbc="T T T"
Pm 2.567 -7.164 0.992
Pm 1.175 0.948 4.539
Pm 4.435 -1.705 -0.563
Pm 3.044 6.407 2.985
Pm 4.927 2.156 2.013
Pm 3.498 -3.299 3.938
Pm 2.113 2.542 0.038
Pm 0.684 -2.913 1.963
Nd 2.098 -4.246 -0.780
Nd 1.610 -1.943 6.365
Sm -1.195 -1.564 4.377
Sm 0.708 3.867 2.768
Sm 1.903 5.431 -1.609
Sm 0.902 -5.809 3.597
Dy 2.806 -0.379 1.988
Dy 1.416 7.734 5.537

=====

No. 11
4
Lattice="-2.309 3.591 7.379 -4.760 4.035 5.808 -4.341 1.468 7.188" Properties=species:S:1:pos:R:3 comment="Li2AgP, relaxed, DFT GGA-PBE" formation_enthalpy_0k_ev_per_atom=-0.178 e_tot_ev_per_atom=-3.201 volume_a3_per_cell=63 pbc="T T T"
Ag -8.557 6.820 15.281
Li -11.283 8.992 20.148
Li -5.832 4.648 10.415
P -2.852 2.273 5.094

=====

No. 12
5
Lattice="6.907 0.000 0.000 0.000 6.907 0.000 3.453 3.453 4.005" Properties=species:S:1:pos:R:3 comment="Rb2GeSe2, relaxed, DFT GGA-PBE" e_above_lowest_polymorph_kj_per_mol_fu=193.5 e_form_raw_ev_per_atom=-0.4328 e_tot_ev_per_atom=-3.137 volume_a3_per_cell=191 pbc="T T T"
Ge 0.000 0.000 0.000
Se 3.453 3.453 1.516
Se 6.907 6.907 2.489
Rb 6.907 3.453 2.003
Rb 3.453 6.907 2.003